Ge2BSbO | meta-GGA SCAN | PBEsol geometry

Computed properties:
**DFT total energy**: -17.694 eV per atom
**Total moment**: 0.00 μB/cell
**Crystal system**: tetragonal
**Space group**: P4/mmm (123)
**Volume**: 79 Å³/cell

Structure (CIF):
```
data_Ge2BSbO
_chemical_formula_sum 'Ge2 B1 Sb1 O1'
_cell_length_a 5.178
_cell_length_b 5.178
_cell_length_c 2.929
_cell_angle_alpha 90.00
_cell_angle_beta 90.00
_cell_angle_gamma 90.00
_symmetry_space_group_name_H-M 'P 1'
_symmetry_Int_Tables_number 1
_symmetry_space_group_name_Hall 'P 1'
loop_
_atom_site_label
_atom_site_type_symbol
_atom_site_fract_x
_atom_site_fract_y
_atom_site_fract_z
Ge1 Ge 0.000 0.500 0.000
Ge2 Ge 0.500 0.000 0.000
B1 B 0.000 0.000 0.000
Sb1 Sb 0.500 0.500 0.500
O1 O 0.000 0.000 0.500
```


Sm2GeB2O8 | meta-GGA SCAN | PBEsol geometry

Computed properties:
**DFT total energy**: -16.310 eV per atom
**Total moment**: 0.00 μB/cell
**Crystal system**: orthorhombic
**Space group**: Pbcn (60)
**Volume**: 561 Å³/cell

Structure (CIF):
```
data_Sm2GeB2O8
_chemical_formula_sum 'Sm8 Ge4 B8 O32'
_cell_length_a 13.577
_cell_length_b 4.427
_cell_length_c 9.342
_cell_angle_alpha 90.00
_cell_angle_beta 90.00
_cell_angle_gamma 90.00
_symmetry_space_group_name_H-M 'P 1'
_symmetry_Int_Tables_number 1
_symmetry_space_group_name_Hall 'P 1'
loop_
_atom_site_label
_atom_site_type_symbol
_atom_site_fract_x
_atom_site_fract_y
_atom_site_fract_z
Sm1 Sm 0.141 0.041 0.025
Sm2 Sm 0.141 0.959 0.525
Sm3 Sm 0.359 0.459 0.525
Sm4 Sm 0.359 0.541 0.025
Sm5 Sm 0.641 0.459 0.975
Sm6 Sm 0.641 0.541 0.475
Sm7 Sm 0.859 0.041 0.475
Sm8 Sm 0.859 0.959 0.975
Ge1 Ge 0.000 0.426 0.750
Ge2 Ge 0.000 0.574 0.250
Ge3 Ge 0.500 0.074 0.250
Ge4 Ge 0.500 0.926 0.750
B1 B 0.200 0.469 0.296
B2 B 0.200 0.531 0.796
B3 B 0.300 0.031 0.796
B4 B 0.300 0.969 0.296
B5 B 0.700 0.031 0.704
B6 B 0.700 0.969 0.204
B7 B 0.800 0.469 0.204
B8 B 0.800 0.531 0.704
O1 O 0.004 0.204 0.902
O2 O 0.004 0.796 0.402
O3 O 0.107 0.341 0.233
O4 O 0.107 0.659 0.733
O5 O 0.192 0.463 0.450
O6 O 0.192 0.537 0.950
O7 O 0.216 0.219 0.740
O8 O 0.216 0.781 0.240
O9 O 0.284 0.281 0.240
O10 O 0.284 0.719 0.740
O11 O 0.308 0.037 0.950
O12 O 0.308 0.963 0.450
O13 O 0.393 0.159 0.733
O14 O 0.393 0.841 0.233
O15 O 0.496 0.296 0.402
O16 O 0.496 0.704 0.902
O17 O 0.504 0.296 0.098
O18 O 0.504 0.704 0.598
O19 O 0.607 0.159 0.767
O20 O 0.607 0.841 0.267
O21 O 0.692 0.037 0.550
O22 O 0.692 0.963 0.050
O23 O 0.716 0.281 0.260
O24 O 0.716 0.719 0.760
O25 O 0.784 0.219 0.760
O26 O 0.784 0.781 0.260
O27 O 0.808 0.463 0.050
O28 O 0.808 0.537 0.550
O29 O 0.893 0.341 0.267
O30 O 0.893 0.659 0.767
O31 O 0.996 0.204 0.598
O32 O 0.996 0.796 0.098
```


SrGe2B2O8 | meta-GGA SCAN | PBEsol geometry

Computed properties:
**DFT total energy**: -12.058 eV per atom
**Total moment**: 0.00 μB/cell
**Crystal system**: orthorhombic
**Space group**: Pnma (62)
**Volume**: 615 Å³/cell

Structure (CIF):
```
data_SrGe2B2O8
_chemical_formula_sum 'Sr4 Ge8 B8 O32'
_cell_length_a 8.280
_cell_length_b 8.109
_cell_length_c 9.167
_cell_angle_alpha 90.00
_cell_angle_beta 90.00
_cell_angle_gamma 90.00
_symmetry_space_group_name_H-M 'P 1'
_symmetry_Int_Tables_number 1
_symmetry_space_group_name_Hall 'P 1'
loop_
_atom_site_label
_atom_site_type_symbol
_atom_site_fract_x
_atom_site_fract_y
_atom_site_fract_z
Sr1 Sr 0.111 0.250 0.070
Sr2 Sr 0.389 0.750 0.570
Sr3 Sr 0.611 0.250 0.430
Sr4 Sr 0.889 0.750 0.930
Ge1 Ge 0.052 0.052 0.689
Ge2 Ge 0.052 0.448 0.689
Ge3 Ge 0.448 0.552 0.189
Ge4 Ge 0.448 0.948 0.189
Ge5 Ge 0.552 0.052 0.811
Ge6 Ge 0.552 0.448 0.811
Ge7 Ge 0.948 0.552 0.311
Ge8 Ge 0.948 0.948 0.311
B1 B 0.241 0.085 0.418
B2 B 0.241 0.415 0.418
B3 B 0.259 0.585 0.918
B4 B 0.259 0.915 0.918
B5 B 0.741 0.085 0.082
B6 B 0.741 0.415 0.082
B7 B 0.759 0.585 0.582
B8 B 0.759 0.915 0.582
O1 O 0.032 0.750 0.330
O2 O 0.109 0.087 0.313
O3 O 0.109 0.413 0.313
O4 O 0.124 0.027 0.868
O5 O 0.124 0.473 0.868
O6 O 0.192 0.750 0.937
O7 O 0.195 0.001 0.557
O8 O 0.195 0.499 0.557
O9 O 0.305 0.501 0.057
O10 O 0.305 0.999 0.057
O11 O 0.308 0.250 0.437
O12 O 0.376 0.527 0.368
O13 O 0.376 0.973 0.368
O14 O 0.391 0.587 0.813
O15 O 0.391 0.913 0.813
O16 O 0.468 0.250 0.830
O17 O 0.532 0.750 0.170
O18 O 0.609 0.087 0.187
O19 O 0.609 0.413 0.187
O20 O 0.624 0.027 0.632
O21 O 0.624 0.473 0.632
O22 O 0.692 0.750 0.563
O23 O 0.695 0.001 0.943
O24 O 0.695 0.499 0.943
O25 O 0.805 0.501 0.443
O26 O 0.805 0.999 0.443
O27 O 0.808 0.250 0.063
O28 O 0.876 0.527 0.132
O29 O 0.876 0.973 0.132
O30 O 0.891 0.587 0.687
O31 O 0.891 0.913 0.687
O32 O 0.968 0.250 0.670
```


TiGeB2O | meta-GGA SCAN | PBEsol geometry

Computed properties:
**DFT total energy**: -10.451 eV per atom
**Total moment**: 0.00 μB/cell
**Crystal system**: tetragonal
**Space group**: P4/mmm (123)
**Volume**: 54 Å³/cell

Structure (CIF):
```
data_TiGeB2O
_chemical_formula_sum 'Ti1 Ge1 B2 O1'
_cell_length_a 3.654
_cell_length_b 3.654
_cell_length_c 4.050
_cell_angle_alpha 90.00
_cell_angle_beta 90.00
_cell_angle_gamma 90.00
_symmetry_space_group_name_H-M 'P 1'
_symmetry_Int_Tables_number 1
_symmetry_space_group_name_Hall 'P 1'
loop_
_atom_site_label
_atom_site_type_symbol
_atom_site_fract_x
_atom_site_fract_y
_atom_site_fract_z
Ti1 Ti 0.000 0.000 0.000
Ge1 Ge 0.500 0.500 0.000
B1 B 0.000 0.500 0.500
B2 B 0.500 0.000 0.500
O1 O 0.500 0.500 0.500
```


GeB2P | meta-GGA SCAN | PBEsol geometry

Computed properties:
**Total moment**: 0.00 μB/cell
**Formation energy from the elements**: 1.61 eV per atom
**Crystal system**: cubic
**Space group**: Fm-3m (225)
**Volume**: 44 Å³/cell

Structure (CIF):
```
data_GeB2P
_chemical_formula_sum 'Ge1 B2 P1'
_cell_length_a 3.950
_cell_length_b 3.950
_cell_length_c 3.950
_cell_angle_alpha 60.00
_cell_angle_beta 60.00
_cell_angle_gamma 60.00
_symmetry_space_group_name_H-M 'P 1'
_symmetry_Int_Tables_number 1
_symmetry_space_group_name_Hall 'P 1'
loop_
_atom_site_label
_atom_site_type_symbol
_atom_site_fract_x
_atom_site_fract_y
_atom_site_fract_z
Ge1 Ge 0.000 0.000 0.000
B1 B 0.250 0.250 0.250
B2 B 0.750 0.750 0.750
P1 P 0.500 0.500 0.500
```


Sr2GeBP | meta-GGA SCAN | PBEsol geometry

Computed properties:
**Total moment**: 0.00 μB/cell
**Formation energy from the elements**: -0.26 eV per atom
**Crystal system**: tetragonal
**Space group**: P4/mmm (123)
**Volume**: 117 Å³/cell

Structure (CIF):
```
data_Sr2GeBP
_chemical_formula_sum 'Sr2 Ge1 B1 P1'
_cell_length_a 5.603
_cell_length_b 5.603
_cell_length_c 3.721
_cell_angle_alpha 90.00
_cell_angle_beta 90.00
_cell_angle_gamma 90.00
_symmetry_space_group_name_H-M 'P 1'
_symmetry_Int_Tables_number 1
_symmetry_space_group_name_Hall 'P 1'
loop_
_atom_site_label
_atom_site_type_symbol
_atom_site_fract_x
_atom_site_fract_y
_atom_site_fract_z
Sr1 Sr 0.000 0.500 0.000
Sr2 Sr 0.500 0.000 0.000
Ge1 Ge 0.000 0.000 0.500
B1 B 0.000 0.000 0.000
P1 P 0.500 0.500 0.500
```